# PBE YHgTe2, relaxed
data_YHgTe2
_symmetry_space_group_name_H-M 'P 3 m 1'
_symmetry_Int_Tables_number 156
_symmetry_space_group_name_Hall 'P 3 -2"'
_cell_length_a 4.4497
_cell_length_b 4.4497
_cell_length_c 8.3896
_cell_angle_alpha 90.00
_cell_angle_beta 90.00
_cell_angle_gamma 120.00
loop_
_atom_site_label
_atom_site_type_symbol
_atom_site_fract_x
_atom_site_fract_y
_atom_site_fract_z
Y1 Y 0.0000 0.0000 0.0000
Hg1 Hg 0.3333 0.6667 0.4470
Te1 Te 0.3333 0.6667 0.8027
Te2 Te 0.6667 0.3333 0.2136
# E in eV per atom: -4.056
# Volume in A^3/atom: 36.0
# Size of the total moment in Bohr magnetons per cell: 0.00
# Relative energy among the computed polymorphs in kJ/mol of atoms: 10.09
# Formation energy from raw total energies in eV/atom: -0.793
# DOS(E_F) in states/eV per cell: 3.0



# PBE YHgTe2, relaxed
data_YHgTe2
_symmetry_space_group_name_H-M 'C 1 2/c 1'
_symmetry_Int_Tables_number 15
_symmetry_space_group_name_Hall '-C 2yc'
_cell_length_a 13.678
_cell_length_b 11.638
_cell_length_c 15.424
_cell_angle_alpha 90.00
_cell_angle_beta 113.87
_cell_angle_gamma 90.00
loop_
_atom_site_label
_atom_site_type_symbol
_atom_site_fract_x
_atom_site_fract_y
_atom_site_fract_z
Y1 Y 0.065 0.038 0.125
Y2 Y 0.221 0.118 0.408
Hg1 Hg 0.072 0.492 0.427
Hg2 Hg 0.247 0.229 0.784
Te1 Te 0.000 0.146 0.750
Te2 Te 0.000 0.200 0.250
Te3 Te 0.112 0.199 0.535
Te4 Te 0.147 0.109 0.959
Te5 Te 0.202 0.485 0.736
# E in eV per atom: -4.038
# Volume in A^3/atom: 35.1
# Size of the total moment in Bohr magnetons per cell: 0.00
# Relative energy among the computed polymorphs in kJ/mol of atoms: 11.78
# Formation energy from raw total energies in eV/atom: -0.776
# DOS(E_F) in states/eV per cell: 0.0